The following is a PBE-GGA calculation of a geometry-optimized KLi2HoCl6 structure, from Alexandria.

Unit cell a=8.458 b=8.458 c=8.458 alpha=45.81 beta=45.81 gamma=45.81
Sites, in units of the cell vectors:
K (0.000, 0.000, 0.000)
Li (0.173, 0.173, 0.173)
Li (0.827, 0.827, 0.827)
Ho (0.500, 0.500, 0.500)
Cl (0.102, 0.773, 0.434)
Cl (0.227, 0.566, 0.898)
Cl (0.434, 0.102, 0.773)
Cl (0.566, 0.898, 0.227)
Cl (0.773, 0.434, 0.102)
Cl (0.898, 0.227, 0.566)

Results
- uncorrected formation energy (kJ/mol of atoms) = -198
- total energy (eV/atom) = -4.111
- total magnetization (μB per formula unit) = 0.0